[1]
DFT (PBE-GGA) results for an optimized crystal structure of CeYAlCd.

Output
The energy comes out at -0.1669 hartree per atom. The crystal system is cubic. The volume comes out at 412 Å³ per cell.

Cell lengths 7.441, 7.441, 7.441 Å; angles 90.00, 90.00, 90.00 degrees
Space group F-43m (No. 216)
Unique sites:
Ce1 0.000 0.000 0.000 x4
Y1 0.000 0.000 0.500 x4
Al1 0.250 0.250 0.250 x4
Cd1 0.250 0.250 0.750 x4

***

[2]
DFT (PBE-GGA) results for an optimized crystal structure of LiAlRe2.

Output
The energy comes out at -0.2798 hartree per atom. The crystal system is monoclinic. The volume comes out at 57 Å³ per cell.

Cell lengths 2.660, 4.312, 5.040 Å; angles 90.00, 98.76, 90.00 degrees
Space group Pm (No. 6)
Unique sites:
Li1 0.000 0.000 0.000 x1
Al1 0.138 0.500 0.764 x1
Re1 0.495 0.000 0.489 x1
Re2 0.695 0.500 0.253 x1

***

[3]
DFT (PBE-GGA) results for an optimized crystal structure of CsSiTe2.

Output
The value obtained for the raw formation energy is -0.069 eV/atom. The crystal system is trigonal. The volume comes out at 447 Å³ per cell.

Cell lengths 4.0988, 4.0988, 30.7450 Å; angles 90.00, 90.00, 120.00 degrees
Space group R-3m (No. 166, hexagonal axes)
Unique sites:
Cs1 0.0000 0.0000 0.0000 x3
Si1 0.0000 0.0000 0.5000 x3
Te1 0.0000 0.0000 0.1167 x6

***

[4]
DFT (PBE-GGA) results for an optimized crystal structure of Ba3Cd9In2.

Output
The energy comes out at -0.0618 hartree per atom. The crystal system is orthorhombic. The volume comes out at 816 Å³ per cell.

Cell lengths 5.280, 10.134, 15.248 Å; angles 90.00, 90.00, 90.00 degrees
Space group Immm (No. 71)
Unique sites:
Ba1 0.000 0.000 0.000 x2
Ba2 0.000 0.000 0.294 x4
Cd1 0.000 0.287 0.141 x8
Cd2 0.000 0.357 0.340 x8
Cd3 0.000 0.500 0.000 x2
In1 0.000 0.178 0.500 x4

***

[5]
DFT (PBE-GGA) results for an optimized crystal structure of Co2RuBr.

Output
The value obtained for the raw formation energy is 0.796 eV/atom. Its energy above the lowest structure with this stoichiometry is 0.270 eV per atom. The crystal system is orthorhombic. The volume comes out at 111 Å³ per cell.

Cell lengths 2.929, 4.366, 8.694 Å; angles 90.00, 90.00, 90.00 degrees
Space group Immm (No. 71)
Unique sites:
Co1 0.000 0.000 0.238 x4
Ru1 0.000 0.500 0.000 x2
Br1 0.000 0.500 0.500 x2

***

[6]
DFT (PBE-GGA) results for an optimized crystal structure of NaYZn2Ga.

Output
The energy comes out at -0.0901 hartree per atom. The crystal system is tetragonal. The volume comes out at 130 Å³ per cell.

Cell lengths 4.871, 4.871, 5.483 Å; angles 90.00, 90.00, 90.00 degrees
Space group P4/mmm (No. 123)
Unique sites:
Na1 0.000 0.000 0.000 x1
Y1 0.500 0.500 0.000 x1
Zn1 0.000 0.500 0.500 x2
Ga1 0.500 0.500 0.500 x1

***

[7]
DFT (PBE-GGA) results for an optimized crystal structure of Nd8IrRh2.

Output
Its energy above the lowest structure with this stoichiometry is 0.000 eV per atom. The crystal system is monoclinic. The volume comes out at 626 Å³ per cell.

Cell lengths 17.885, 5.124, 6.900 Å; angles 90.00, 98.34, 90.00 degrees
Space group C2/m (No. 12)
Unique sites:
Nd1 0.039 0.000 0.280 x4
Nd2 0.086 0.500 0.923 x4
Nd3 0.165 0.500 0.460 x4
Nd4 0.201 0.000 0.841 x4
Ir1 0.000 0.500 0.500 x2
Rh1 0.211 0.000 0.244 x4

***

[8]
DFT (PBE-GGA) results for an optimized crystal structure of Pr2Dy5Tm3.

Output
Its energy above the lowest structure with this stoichiometry is 0.000 eV per atom. The crystal system is triclinic. The volume comes out at 648 Å³ per cell.

Cell lengths 6.760, 9.355, 11.487 Å; angles 109.59, 105.38, 94.93 degrees
Space group P-1 (No. 2)
Unique sites:
Pr1 0.094 0.325 0.332 x2
Pr2 0.357 0.969 0.755 x2
Dy1 0.045 0.741 0.436 x2
Dy2 0.185 0.539 0.156 x2
Dy3 0.274 0.754 0.960 x2
Dy4 0.316 0.365 0.861 x2
Dy5 0.441 0.182 0.551 x2
Tm1 0.132 0.923 0.243 x2
Tm2 0.225 0.147 0.055 x2
Tm3 0.388 0.573 0.647 x2

***

[9]
DFT (PBE-GGA) results for an optimized crystal structure of ThMgAu.

Output
The energy comes out at -0.1656 hartree per atom. The crystal system is hexagonal. The volume comes out at 72 Å³ per cell.

Cell lengths 4.8654, 4.8654, 3.5048 Å; angles 90.00, 90.00, 120.00 degrees
Space group P-6m2 (No. 187)
Unique sites:
Th1 0.0000 0.0000 0.0000 x1
Mg1 0.3333 0.6667 0.5000 x1
Au1 0.6667 0.3333 0.5000 x1

***

[10]
DFT (PBE-GGA) results for an optimized crystal structure of KCuF5.

Output
The value obtained for the raw formation energy is -1.680 eV/atom. The crystal system is monoclinic. The volume comes out at 411 Å³ per cell.

Cell lengths 9.456, 6.032, 7.942 Å; angles 90.00, 114.88, 90.00 degrees
Space group C2/c (No. 15)
Unique sites:
K1 0.000 0.000 0.250 x4
Cu1 0.000 0.500 0.000 x4
F1 0.000 0.500 0.250 x4
F2 0.144 0.284 0.072 x8
F3 0.146 0.287 0.573 x8

***

[11]
DFT (PBE-GGA) results for an optimized crystal structure of LiYFe2.

Output
Its energy above the lowest structure with this stoichiometry is 0.000 eV per atom. The crystal system is trigonal. The volume comes out at 201 Å³ per cell.

Cell lengths 3.9976, 3.9976, 14.5220 Å; angles 90.00, 90.00, 120.00 degrees
Space group R3m (No. 160, hexagonal axes)
Unique sites:
Li1 0.0000 0.0000 0.0000 x3
Y1 0.0000 0.0000 0.2050 x3
Fe1 0.0000 0.0000 0.4122 x3
Fe2 0.0000 0.0000 0.7390 x3

***

[12]
DFT (PBE-GGA) results for an optimized crystal structure of ZrUZn.

Output
The energy comes out at -0.2571 hartree per atom. The crystal system is orthorhombic. The volume comes out at 499 Å³ per cell.

Cell lengths 4.828, 9.503, 10.884 Å; angles 90.00, 90.00, 90.00 degrees
Space group Fmmm (No. 69)
Unique sites:
Zr1 0.000 0.000 0.141 x8
U1 0.000 0.178 0.500 x8
Zn1 0.250 0.250 0.250 x8